Here is a relaxed structure of IrPb4Au from Alexandria via LeMat-Bulk. Energies are from PBE.

Computed properties:
Electronic total energy   -3.617 eV/atom
DOS at the Fermi energy   2.9 states/eV/f.u.

```
IrPb4Au
1.0
3.200 -0.335 5.256
1.075 5.104 3.284
-2.847 0.846 5.400
Ir Pb Au
1 4 1
Cartesian
0.000 0.000 0.000
1.075 4.667 6.869
2.143 1.934 7.860
-0.896 2.527 7.933
0.535 2.102 5.218
1.071 4.212 10.455
```